P) 10
Lattice="-0.101 -0.265 -5.887 6.473 -1.789 2.919 -5.002 -6.951 0.399" Properties=species:S:1:pos:R:3 comment="Nd2Se2Br (PBE, optimized geometry)" crystal_system=monoclinic vol_a3_per_atom=32.013 pbc="T T T"
Nd 5.080 -3.701 0.079
Nd -0.789 -4.621 0.221
Se -3.694 -5.219 0.298
Se 5.064 -3.785 -2.868
Br 1.577 -1.368 -2.916
Nd -3.710 -5.303 -2.648
Nd 2.159 -4.383 -2.791
Br -0.207 -7.636 0.347
Se 2.182 -4.156 0.149
Se -0.813 -4.848 -2.718

***

Q) 10
Lattice="-0.053 2.802 4.078 -3.585 -4.576 6.102 6.538 -2.620 1.885" Properties=species:S:1:pos:R:3 comment="Nd2Se2Br (PBE, optimized geometry)" crystal_system=monoclinic vol_a3_per_atom=29.064 pbc="T T T"
Nd -1.186 0.897 5.374
Se -0.698 -1.676 7.149
Br -1.950 -5.225 6.583
Nd 0.817 -3.980 5.749
Br 4.850 0.831 5.483
Nd 4.086 -5.290 6.692
Se 0.329 -1.407 3.976
Nd 2.083 -0.413 6.316
Se 2.571 -2.987 8.090
Se 3.598 -2.718 4.916

***

Most stable to least stable, the ends of the list are P) and Q).

***

P) 4
Lattice="-0.241 -3.325 -2.576 2.427 -3.375 0.684 -4.729 -5.263 3.791" Properties=species:S:1:pos:R:3 comment="Nd2SiBr (PBE, optimized geometry)" crystal_system=trigonal vol_a3_per_atom=29.394 pbc="T T T"
Si -3.252 -9.718 2.514
Br -1.307 -6.001 0.979
Nd -3.596 -4.634 2.873
Nd -0.388 -2.853 0.274

***

Q) 4
Lattice="-2.501 -1.973 2.845 0.599 -4.141 0.861 4.057 -0.242 6.605" Properties=species:S:1:pos:R:3 comment="Nd2SiBr (PBE, optimized geometry)" crystal_system=trigonal vol_a3_per_atom=29.047 pbc="T T T"
Nd 1.803 -4.696 7.947
Si 0.000 0.000 0.000
Br 1.078 -3.178 5.156
Nd 0.353 -1.660 2.365

***

Most stable to least stable, the ends of the list are Q) and P).

***

P) 8
Lattice="7.208 0.009 0.010 3.595 6.246 0.014 3.592 2.076 6.613" Properties=species:S:1:pos:R:3 comment="NdSmBr6 (PBE, optimized geometry)" crystal_system=trigonal vol_a3_per_atom=37.139 pbc="T T T"
Sm 0.000 0.000 0.000
Br 5.959 6.215 1.657
Nd 7.198 4.166 3.318
Br 6.048 2.068 1.653
Br 9.595 4.218 1.660
Br 4.801 4.113 4.976
Br 8.437 2.116 4.979
Br 8.348 6.263 4.984

***

Q) 8
Lattice="-3.678 6.551 0.850 -0.639 -4.356 -6.147 -4.028 -3.960 4.423" Properties=species:S:1:pos:R:3 comment="NdSmBr6 (PBE, optimized geometry)" crystal_system=monoclinic vol_a3_per_atom=41.041 pbc="T T T"
Sm -4.172 -0.883 -0.437
Br -5.787 -2.924 -1.673
Br -4.254 0.646 -2.854
Nd 0.000 0.000 0.000
Br -4.090 -2.411 1.981
Br -1.665 -2.044 -1.255
Br -2.558 1.159 0.800
Br -6.680 0.279 0.382

***

Most stable to least stable, the ends of the list are Q) and P).

***

P) 6
Lattice="5.837 0.000 0.000 0.000 5.837 0.000 -2.918 -2.918 5.699" Properties=species:S:1:pos:R:3 comment="NdSmBr4 (PBE, optimized geometry)" crystal_system=tetragonal vol_a3_per_atom=32.354 pbc="T T T"
Sm 2.918 2.918 0.000
Br 0.000 0.000 2.718
Br 2.918 0.000 5.532
Br 2.918 2.918 2.981
Br 2.918 0.000 0.167
Nd 0.000 2.918 2.849

***

Q) 12
Lattice="7.191 0.000 -3.658 -1.971 6.937 -3.875 -0.394 -0.405 8.124" Properties=species:S:1:pos:R:3 comment="NdSmBr4 (PBE, optimized geometry)" crystal_system=orthorhombic vol_a3_per_atom=31.753 pbc="T T T"
Br 3.783 4.891 -1.461
Br 3.582 4.739 2.337
Br 0.139 4.825 0.273
Nd 3.399 -0.202 2.233
Sm 2.610 3.468 -3.766
Br -0.220 4.739 4.271
Sm 3.596 0.000 -1.829
Br 1.245 1.793 -1.746
Br 5.047 1.793 -3.680
Br 4.688 1.707 0.318
Br 1.044 1.641 2.052
Nd -0.197 -0.202 4.062

***

Most stable to least stable, the ends of the list are Q) and P).

***

P) 3
Lattice="3.819 0.000 0.000 -1.910 3.307 0.000 0.000 0.000 7.553" Properties=species:S:1:pos:R:3 comment="NdSmBr (PBE, optimized geometry)" crystal_system=trigonal vol_a3_per_atom=31.802 pbc="T T T"
Br 1.910 1.102 2.548
Sm 0.000 2.205 4.878
Nd 0.000 0.000 0.127

***

Q) 6
Lattice="3.564 0.000 0.000 1.782 4.155 -3.802 1.782 -5.876 18.534" Properties=species:S:1:pos:R:3 comment="NdSmBr (PBE, optimized geometry)" crystal_system=monoclinic vol_a3_per_atom=32.475 pbc="T T T"
Sm 3.564 -2.395 7.915
Br 1.782 -0.320 1.876
Br 5.346 -1.401 12.856
Sm 3.564 0.673 6.817
Nd 5.346 2.516 0.326
Nd 1.782 -4.238 14.406

***

Most stable to least stable, the ends of the list are P) and Q).

***

P) 4
Lattice="-2.109 -1.685 -2.501 1.550 -2.054 -2.630 -0.803 -9.476 4.354" Properties=species:S:1:pos:R:3 comment="TbNdBr2 (PBE, optimized geometry)" crystal_system=trigonal vol_a3_per_atom=30.017 pbc="T T T"
Br -0.620 -7.034 2.554
Nd 0.000 0.000 0.000
Br -0.742 -6.181 -3.331
Tb -0.681 -6.607 -0.389

***

Q) 4
Lattice="3.648 0.000 0.000 1.824 3.160 0.000 1.824 1.053 9.345" Properties=species:S:1:pos:R:3 comment="TbNdBr2 (PBE, optimized geometry)" crystal_system=trigonal vol_a3_per_atom=26.930 pbc="T T T"
Br 1.824 1.053 2.299
Tb 3.648 2.106 0.037
Nd 3.648 2.106 4.630
Br 1.824 1.053 7.052

***

Most stable to least stable, the ends of the list are Q) and P).

***

P) 4
Lattice="3.741 0.000 0.000 1.871 3.240 0.000 1.871 1.080 10.526" Properties=species:S:1:pos:R:3 comment="TbNd2Br (PBE, optimized geometry)" crystal_system=trigonal vol_a3_per_atom=31.896 pbc="T T T"
Nd 1.871 1.080 2.392
Tb 3.741 2.160 5.266
Br 3.741 2.160 0.004
Nd 1.871 1.080 8.127

***

Q) 4
Lattice="-1.621 1.003 3.060 3.045 -0.637 1.822 2.821 9.165 -1.510" Properties=species:S:1:pos:R:3 comment="TbNd2Br (PBE, optimized geometry)" crystal_system=tetragonal vol_a3_per_atom=31.542 pbc="T T T"
Nd 2.157 7.007 -1.154
Tb 2.123 4.766 1.686
Nd 0.665 2.159 -0.356
Br 0.712 0.183 2.441

***

Most stable to least stable, the ends of the list are P) and Q).

***

P) 4
Lattice="-1.317 -2.624 -2.441 1.489 -2.766 2.170 -6.452 -0.404 3.914" Properties=species:S:1:pos:R:3 comment="Nd2TeBr (PBE, optimized geometry)" crystal_system=tetragonal vol_a3_per_atom=27.542 pbc="T T T"
Nd -4.885 -0.306 2.964
Te 0.086 -2.695 -0.136
Nd -1.567 -0.098 0.951
Br -3.140 -2.897 1.821

***

Q) 4
Lattice="4.043 0.000 0.000 2.022 3.501 0.000 2.022 1.167 8.527" Properties=species:S:1:pos:R:3 comment="Nd2TeBr (PBE, optimized geometry)" crystal_system=trigonal vol_a3_per_atom=30.179 pbc="T T T"
Te 4.043 2.334 4.256
Nd 2.022 1.167 2.156
Nd 2.022 1.167 6.364
Br 4.043 2.334 0.014

***

Most stable to least stable, the ends of the list are Q) and P).

***

P) 16
Lattice="4.269 0.000 0.000 0.000 5.155 0.000 0.000 0.000 22.296" Properties=species:S:1:pos:R:3 comment="Nd2TlBr (PBE, optimized geometry)" crystal_system=orthorhombic vol_a3_per_atom=30.668 pbc="T T T"
Tl 3.202 1.288 8.833
Nd 3.202 3.866 10.693
Nd 3.202 1.287 3.569
Tl 3.202 1.290 19.981
Br 1.067 1.291 17.010
Tl 1.067 3.867 13.463
Nd 1.067 3.868 18.727
Nd 3.202 1.291 14.717
Nd 1.067 3.865 7.579
Nd 1.067 1.289 11.603
Nd 3.202 3.867 21.841
Br 3.202 3.868 16.435
Br 3.202 3.865 5.287
Br 1.067 1.287 5.861
Nd 1.067 1.289 0.455
Tl 1.067 3.866 2.315

***

Q) 4
Lattice="-1.089 2.370 -2.543 -3.248 -1.644 -0.141 -2.890 5.191 6.076" Properties=species:S:1:pos:R:3 comment="Nd2TlBr (PBE, optimized geometry)" crystal_system=tetragonal vol_a3_per_atom=28.199 pbc="T T T"
Tl -3.614 2.959 1.696
Br -2.169 0.363 -1.342
Nd -0.735 1.320 1.545
Nd -2.155 3.871 4.530

***

R) 4
Lattice="-3.521 0.445 1.361 -0.811 -1.063 3.558 0.889 8.585 4.799" Properties=species:S:1:pos:R:3 comment="Nd2TlBr (PBE, optimized geometry)" crystal_system=trigonal vol_a3_per_atom=30.117 pbc="T T T"
Br -2.886 -0.407 3.281
Nd -0.885 1.899 2.396
Tl -1.722 3.979 4.857
Nd 0.330 6.479 4.042

***

Most stable to least stable, the ends of the list are Q) and R).

***

P) 4
Lattice="3.576 0.000 0.000 0.000 3.576 0.000 0.000 0.000 8.271" Properties=species:S:1:pos:R:3 comment="Nd2ZnBr (PBE, optimized geometry)" crystal_system=tetragonal vol_a3_per_atom=26.441 pbc="T T T"
Br 1.788 1.788 4.135
Nd 0.000 0.000 6.409
Zn 1.788 1.788 0.000
Nd 0.000 0.000 1.862

***

Q) 4
Lattice="4.158 0.000 0.000 2.079 3.601 0.000 2.079 1.200 7.590" Properties=species:S:1:pos:R:3 comment="Nd2ZnBr (PBE, optimized geometry)" crystal_system=trigonal vol_a3_per_atom=28.413 pbc="T T T"
Nd 2.079 1.200 1.779
Zn 0.000 0.000 0.000
Nd 6.237 3.601 5.811
Br 4.158 2.401 3.795

***

Most stable to least stable, the ends of the list are Q) and P).

***

P) 6
Lattice="-5.628 0.125 -6.705 5.521 -3.605 5.760 -2.721 -0.533 2.274" Properties=species:S:1:pos:R:3 comment="Ni2Br (PBE, optimized geometry)" crystal_system=orthorhombic vol_a3_per_atom=18.473 pbc="T T T"
Ni -5.774 -0.188 -5.539
Ni 2.945 -3.826 6.868
Br 3.144 -3.171 4.432
Ni -1.501 -2.338 1.897
Br -5.973 -0.843 -3.103
Ni -1.328 -1.675 -0.567

***

Q) 6
Lattice="1.747 -3.026 0.000 1.747 3.026 0.000 0.000 0.000 8.577" Properties=species:S:1:pos:R:3 comment="Ni2Br (PBE, optimized geometry)" crystal_system=hexagonal vol_a3_per_atom=15.117 pbc="T T T"
Br 0.000 0.000 2.144
Ni 1.747 1.009 4.971
Br 0.000 0.000 6.433
Ni 1.747 -1.009 0.682
Ni 1.747 1.009 7.895
Ni 1.747 -1.009 3.607

***

Most stable to least stable, the ends of the list are P) and Q).

***

P) 6
Lattice="1.694 -9.727 0.000 1.694 9.727 0.000 0.000 0.000 3.367" Properties=species:S:1:pos:R:3 comment="Ni2Br (PBE, optimized geometry)" crystal_system=orthorhombic vol_a3_per_atom=18.497 pbc="T T T"
Ni 1.694 -6.616 2.526
Ni 1.694 4.851 2.526
Br 1.694 1.854 0.842
Br 1.694 -1.854 2.526
Ni 1.694 6.616 0.842
Ni 1.694 -4.851 0.842

***

Q) 6
Lattice="-0.506 -4.941 6.416 0.477 -6.958 4.147 4.519 0.351 1.647" Properties=species:S:1:pos:R:3 comment="Ni2Br (PBE, optimized geometry)" crystal_system=monoclinic vol_a3_per_atom=20.109 pbc="T T T"
Ni 0.465 -9.537 8.678
Ni 4.024 -2.012 3.532
Br 0.853 -7.105 6.684
Ni 2.742 -9.179 9.346
Br 3.636 -4.444 5.526
Ni 1.747 -2.370 2.864

***

R) 6
Lattice="1.902 -5.111 7.269 -2.214 -3.273 8.183 -0.870 2.391 -8.724" Properties=species:S:1:pos:R:3 comment="Ni2Br (PBE, optimized geometry)" crystal_system=tetragonal vol_a3_per_atom=15.499 pbc="T T T"
Ni -1.643 -3.165 4.751
Ni -0.179 -4.820 8.884
Br 0.000 0.000 0.000
Ni -0.133 -3.563 6.568
Br 0.438 -3.456 3.136
Ni -1.596 -1.908 2.435

***

Most stable to least stable, the ends of the list are Q) and R).